#A
First-principles (GGA-PBE) data for a relaxed structure of KMg2Re, as listed in Alexandria via LeMat-Bulk.

a b c (Å): 9.3066 2.7964 7.4166
angles (deg): 90.00 92.78 90.00
Last column: nearest neighbours and their distance in Å.
Space group C2/m (No. 12)
Unique sites:
K: 0.0000 0.0000 0.0000 x2  2 K 2.80
Mg: 0.2383 0.0000 0.6705 x4  4 Mg 2.80-2.91, 3 Re 2.80-2.86
Re: 0.0000 0.5000 0.5000 x2  2 Re 2.80, 6 Mg 2.80-2.86

Total magnetization (μB/f.u.): 0.60
V (Å³/cell): 193

=====

#B
First-principles (GGA-PBE) data for a relaxed structure of KMg2Re, as listed in Alexandria via LeMat-Bulk.

a b c (Å): 2.7792 4.7303 8.2076
angles (deg): 90.00 91.93 90.00
Last column: nearest neighbours and their distance in Å.
Space group Pm (No. 6)
Unique sites:
K: 0.0000 0.0000 0.0000 x1  2 K 2.78
Mg: 0.5660 0.5000 0.3739 x1  2 Re 2.77-2.78, 4 Mg 2.78-3.01
Mg: 0.5834 0.0000 0.6003 x1  4 Mg 2.78-3.01, 4 Re 2.79-2.80
Re: 0.0945 0.5000 0.6667 x1  6 Mg 2.77-2.80, 2 Re 2.78

Total magnetization (μB/f.u.): 0.00
V (Å³/cell): 108

=====

#C
First-principles (GGA-PBE) data for a relaxed structure of KMg2Re, as listed in Alexandria via LeMat-Bulk.

a b c (Å): 2.9880 2.9880 33.2492
angles (deg): 90.00 90.00 120.00
Last column: nearest neighbours and their distance in Å.
Space group R-3m (No. 166, hexagonal axes)
Unique sites:
K: 0.0000 0.0000 0.0000 x3  6 K 2.99
Mg: 0.0000 0.0000 0.2352 x6  3 Re 2.86, 6 Mg 2.99
Re: 0.0000 0.0000 0.5000 x3  6 Mg 2.86, 6 Re 2.99

Total magnetization (μB/f.u.): 0.00
V (Å³/cell): 257

=====

Which of them is the most stable, and which is the least stable? #C and #A, in that order.